No. 1
# BaCuRe

BaCuRe after structural relaxation (PBE, the Alexandria database).

Output
Relative energy among the computed polymorphs   1.04 eV/f.u.
Space-group type   P3m1 (156)

Cell lengths 3.0581, 3.0581, 7.7548 Å; angles 90.00, 90.00, 120.00 degrees
Fractional coordinates of all 3 atoms:
1 Ba 0.0000 0.0000 0.0000
2 Cu 0.3333 0.6667 0.3796
3 Re 0.6667 0.3333 0.6254

***

No. 2
# Pr4Ho8Er

Pr4Ho8Er after structural relaxation (PBE, the Alexandria database).

Output
Space-group type   R-3m (166)

Cell lengths 7.8094, 7.8094, 7.8094 Å; angles 90.11, 90.11, 90.11 degrees
Fractional coordinates of all 13 atoms:
1 Pr 0.0000 0.0000 0.0000
2 Pr 0.0000 0.5000 0.5000
3 Pr 0.5000 0.0000 0.5000
4 Pr 0.5000 0.5000 0.0000
5 Ho 0.2403 0.2403 0.2403
6 Ho 0.2398 0.2398 0.7588
7 Ho 0.2398 0.7588 0.2398
8 Ho 0.2412 0.7602 0.7602
9 Ho 0.7588 0.2398 0.2398
10 Ho 0.7602 0.2412 0.7602
11 Ho 0.7602 0.7602 0.2412
12 Ho 0.7597 0.7597 0.7597
13 Er 0.5000 0.5000 0.5000

***

No. 3
# Sr3Mg5Tl6

Sr3Mg5Tl6 after structural relaxation (PBE, the Alexandria database).

Output
Space-group type   Pmmn (59)

Cell lengths 5.0533, 14.5111, 11.0612 Å; angles 90.00, 90.00, 90.00 degrees
Fractional coordinates of all 28 atoms:
1 Sr 0.2500 0.0464 0.2494
2 Sr 0.2500 0.4536 0.2494
3 Sr 0.2500 0.7500 0.2506
4 Sr 0.7500 0.2500 0.7494
5 Sr 0.7500 0.5464 0.7506
6 Sr 0.7500 0.9536 0.7506
7 Mg 0.2500 0.0996 0.6071
8 Mg 0.2500 0.4004 0.6071
9 Mg 0.2500 0.6027 0.9807
10 Mg 0.2500 0.7500 0.7554
11 Mg 0.2500 0.8973 0.9807
12 Mg 0.7500 0.1027 0.0193
13 Mg 0.7500 0.2500 0.2446
14 Mg 0.7500 0.3973 0.0193
15 Mg 0.7500 0.5996 0.3929
16 Mg 0.7500 0.9004 0.3929
17 Tl 0.2500 0.0911 0.8721
18 Tl 0.2500 0.2500 0.0695
19 Tl 0.2500 0.2500 0.4173
20 Tl 0.2500 0.4089 0.8721
21 Tl 0.2500 0.6036 0.5325
22 Tl 0.2500 0.8964 0.5325
23 Tl 0.7500 0.1036 0.4675
24 Tl 0.7500 0.3964 0.4675
25 Tl 0.7500 0.5911 0.1279
26 Tl 0.7500 0.7500 0.5827
27 Tl 0.7500 0.7500 0.9305
28 Tl 0.7500 0.9089 0.1279

***

no.,calculated formation energy (eV/atom)
1,1.28
2,0.52
3,-0.22